(1)
First-principles (PBE) data for crystalline SrIr6 at its relaxed geometry, as listed in Alexandria via LeMat-Bulk.

```
7
Lattice="-3.431 3.431 3.431 3.431 -3.431 3.431 3.431 3.431 -3.431" Properties=species:S:1:pos:R:3 pbc="T T T"
Sr 0.000 0.000 0.000
Ir 3.431 1.716 0.000
Ir 3.431 0.000 1.716
Ir 1.716 3.431 0.000
Ir 1.716 0.000 3.431
Ir 0.000 3.431 1.716
Ir 0.000 1.716 3.431
```

## Properties
As for the mass density: 12.75 g/cm³. For the formation energy, the calculation gives 308 meV/atom. For the volume, the calculation gives 23.09 A^3/atom. The value obtained for the raw total energy is -7.527 eV/atom.

---

(2)
First-principles (PBE) data for crystalline Sr5Ir at its relaxed geometry, as listed in Alexandria via LeMat-Bulk.

```
6
Lattice="9.054 0.000 0.000 -4.527 7.841 0.000 0.000 0.000 4.227" Properties=species:S:1:pos:R:3 pbc="T T T"
Sr -3.470 6.011 0.000
Sr 1.056 1.830 0.000
Sr 0.000 5.227 2.113
Sr 4.527 2.614 2.113
Sr 6.941 0.000 0.000
Ir 0.000 0.000 2.113
```

## Properties
As for the mass density: 3.49 g/cm³. For the formation energy, the calculation gives 155 meV/atom. For the volume, the calculation gives 50.01 A^3/atom. As for the distance to the lowest polymorph of the same formula: 255 meV/atom. The value obtained for the raw total energy is -2.724 eV/atom.